1.
! La4Ce2Sn3O2 PBE relaxed; values from VASP
&SYSTEM
  ibrav = 0, nat = 11, ntyp = 4
/
ATOMIC_SPECIES
Sn 118.71 Sn.upf
La 138.91 La.upf
Ce 140.12 Ce.upf
O 16.00 O.upf
ATOMIC_POSITIONS angstrom
Sn 0.000 0.000 4.673
Sn 0.000 0.000 0.000
Sn 2.456 2.456 8.451
La 0.000 2.456 10.945
La 0.000 2.456 2.179
La 2.456 0.000 10.945
La 2.456 0.000 2.179
Ce 2.456 2.456 5.136
Ce 0.000 0.000 7.988
O 2.456 2.456 2.798
O 0.000 0.000 10.327
CELL_PARAMETERS angstrom
4.912 0.000 0.000
0.000 4.912 0.000
-2.456 -2.456 13.124
! ΔE_f (raw), meV per atom: -1438
! Crystal system: tetragonal


2.
! HfAg3As PBE relaxed; values from VASP
&SYSTEM
  ibrav = 0, nat = 5, ntyp = 3
/
ATOMIC_SPECIES
Ag 107.87 Ag.upf
Hf 178.49 Hf.upf
As 74.92 As.upf
ATOMIC_POSITIONS angstrom
Ag -1.429 -2.146 0.300
Ag -0.894 0.911 2.259
Ag 1.973 -1.141 1.241
Hf 0.000 0.000 0.000
As -0.350 -2.375 3.800
CELL_PARAMETERS angstrom
-1.789 1.823 4.519
-2.858 -4.291 0.600
3.946 -2.282 2.482
! Excess energy over the best structure of this formula in the dataset, eV per formula unit: 3.059
! ΔH_f (0 K), eV/atom: 1.393
! Crystal system: cubic


3.
! NiTe2RhI PBE relaxed; values from VASP
&SYSTEM
  ibrav = 0, nat = 5, ntyp = 4
/
ATOMIC_SPECIES
Rh 102.91 Rh.upf
Te 127.60 Te.upf
Ni 58.69 Ni.upf
I 126.90 I.upf
ATOMIC_POSITIONS angstrom
Rh 2.491 2.491 2.589
Te 2.491 0.000 0.000
Te 0.000 2.491 0.000
Ni 0.000 0.000 0.000
I 0.000 0.000 2.589
CELL_PARAMETERS angstrom
4.982 0.000 0.000
0.000 4.982 0.000
0.000 0.000 5.177
! Excess energy over the best structure of this formula in the dataset, eV per formula unit: 0.000
! ΔE_f (raw), meV per atom: 782
! Crystal system: tetragonal


4.
! KHfP2 PBE relaxed; values from VASP
&SYSTEM
  ibrav = 0, nat = 4, ntyp = 3
/
ATOMIC_SPECIES
Hf 178.49 Hf.upf
K 39.10 K.upf
P 30.97 P.upf
ATOMIC_POSITIONS angstrom
Hf 0.000 0.000 0.000
K 3.886 2.244 3.722
P 1.943 1.122 1.369
P 5.829 3.366 6.074
CELL_PARAMETERS angstrom
3.886 0.000 0.000
1.943 3.366 0.000
1.943 1.122 7.443
! Excess energy over the best structure of this formula in the dataset, eV per formula unit: 0.000
! ΔH_f (0 K), eV/atom: -0.666
! Crystal system: trigonal


5.
! LiSm2Dy3Te6 PBE relaxed; values from VASP
&SYSTEM
  ibrav = 0, nat = 12, ntyp = 4
/
ATOMIC_SPECIES
Dy 162.50 Dy.upf
Te 127.60 Te.upf
Li 6.94 Li.upf
Sm 150.36 Sm.upf
ATOMIC_POSITIONS angstrom
Dy 2.689 0.266 6.737
Dy -4.432 -0.868 4.694
Dy 2.795 -2.389 3.229
Te -2.583 1.166 5.972
Te -2.416 -1.509 2.391
Te 0.673 0.907 9.040
Te -6.560 -0.218 6.896
Te 0.840 -1.768 5.459
Te 4.817 -0.384 4.535
Li -0.399 -2.132 0.244
Sm -0.449 0.520 3.815
Sm -1.294 -1.122 7.616
CELL_PARAMETERS angstrom
-0.799 -4.264 0.487
6.388 -0.515 5.971
-7.332 4.177 4.973
! ΔE_f (raw), meV per atom: -1336
! Crystal system: monoclinic


6.
! KTl2Ag PBE relaxed; values from VASP
&SYSTEM
  ibrav = 0, nat = 4, ntyp = 3
/
ATOMIC_SPECIES
K 39.10 K.upf
Tl 204.38 Tl.upf
Ag 107.87 Ag.upf
ATOMIC_POSITIONS angstrom
K 0.000 0.000 0.000
Tl 1.923 1.923 1.923
Tl 5.769 5.769 5.769
Ag 3.846 3.846 3.846
CELL_PARAMETERS angstrom
0.000 3.846 3.846
3.846 0.000 3.846
3.846 3.846 0.000
! ΔH_f (0 K), eV/atom: 0.073
! Crystal system: cubic


7.
! EuInPd PBE relaxed; values from VASP
&SYSTEM
  ibrav = 0, nat = 3, ntyp = 3
/
ATOMIC_SPECIES
In 114.82 In.upf
Eu 151.96 Eu.upf
Pd 106.42 Pd.upf
ATOMIC_POSITIONS angstrom
In 1.490 -2.532 -0.649
Eu 3.594 -4.006 1.456
Pd 1.882 -1.318 1.883
CELL_PARAMETERS angstrom
-1.452 -3.152 -0.756
2.334 -0.441 -2.641
3.138 -0.710 5.280
! ΔH_f (0 K), eV/atom: -0.560
! Crystal system: tetragonal


8.
! Tb8NdHo3 PBE relaxed; values from VASP
&SYSTEM
  ibrav = 0, nat = 12, ntyp = 3
/
ATOMIC_SPECIES
Ho 164.93 Ho.upf
Tb 158.93 Tb.upf
Nd 144.24 Nd.upf
ATOMIC_POSITIONS angstrom
Ho 1.485 1.926 3.616
Ho 0.892 6.068 -1.356
Ho -2.359 3.749 3.585
Tb -2.850 7.043 4.332
Tb 2.377 2.181 -0.723
Tb 0.003 5.809 2.978
Tb -0.499 3.305 0.758
Tb -1.981 1.690 5.994
Tb 5.227 0.952 -2.072
Tb 2.876 4.690 1.502
Tb 4.354 6.310 -3.728
Nd 0.000 0.000 0.000
CELL_PARAMETERS angstrom
7.094 0.496 -4.909
-3.016 7.995 -1.288
-1.701 -0.496 8.458
! ΔH_f (0 K), eV/atom: 0.331
! Crystal system: orthorhombic


| no. | magnetic moment (μB per cell) |
| --- | --- |
| 1 | 1.8 |
| 2 | 0.0 |
| 3 | 1.0 |
| 4 | 0.0 |
| 5 | 0.0 |
| 6 | 0.0 |
| 7 | 7.1 |
| 8 | 0.0 |